1.
BeCr3Au: relaxed, GGA-PBE.

Calculated values
Size of the total moment: 0.000 μB per atom
Energy relative to the lowest polymorph listed for this composition: 0.000 eV/atom
Energy of formation: 371 kJ/mol of formula units
Density of states at the Fermi level: 6.4 states/eV per cell

a = 3.988 Å, b = 3.988 Å, c = 3.988 Å
α = 90.00°, β = 90.00°, γ = 90.00°
Fractional positions:
Cr1 0.000 0.500 0.000
Cr2 0.000 0.000 0.500
Cr3 0.500 0.000 0.000
Au1 0.500 0.500 0.500
Be1 0.000 0.000 0.000

---

2.
Tc3Hg4: relaxed, GGA-PBE.

Calculated values
Size of the total moment: 0.172 μB per atom
Energy relative to the lowest polymorph listed for this composition: 0.000 eV/atom
Energy of formation: 282 kJ/mol of formula units
Density of states at the Fermi level: 4.3 states/eV per cell

a = 15.213 Å, b = 15.213 Å, c = 15.213 Å
α = 168.82°, β = 168.82°, γ = 15.84°
Last column: magnetic moment on the atom in μB.
Fractional positions:
Tc1 0.000 0.000 0.000  1.19
Tc2 0.726 0.726 0.000  -0.02
Tc3 0.274 0.274 0.000  -0.02
Hg1 0.847 0.847 0.000  -0.01
Hg2 0.568 0.568 0.000  0.00
Hg3 0.432 0.432 0.000  0.00
Hg4 0.153 0.153 0.000  -0.01

---

3.
La2InRh: relaxed, GGA-PBE.

Calculated values
Size of the total moment: 0.000 μB per atom
Energy of formation: -153 kJ/mol of formula units
Density of states at the Fermi level: 3.3 states/eV per cell

a = 8.370 Å, b = 8.370 Å, c = 6.749 Å
α = 51.67°, β = 51.67°, γ = 90.00°
Fractional positions:
In1 0.000 0.000 0.000
In2 0.750 0.250 0.500
Rh1 0.500 0.500 0.000
Rh2 0.250 0.750 0.500
La1 0.565 0.125 0.250
La2 0.185 0.625 0.250
La3 0.375 0.435 0.750
La4 0.875 0.815 0.750

---

4.
Mg3PdPb: relaxed, GGA-PBE.

Calculated values
Size of the total moment: 0.000 μB per atom
Energy relative to the lowest polymorph listed for this composition: 0.069 eV/atom
Energy of formation: -126 kJ/mol of formula units
Density of states at the Fermi level: 7.1 states/eV per cell

a = 6.094 Å, b = 8.963 Å, c = 8.963 Å
α = 69.37°, β = 90.05°, γ = 90.05°
Fractional positions:
Mg1 0.630 0.834 0.948
Mg2 0.870 0.052 0.166
Mg3 0.370 0.166 0.052
Mg4 0.130 0.948 0.834
Mg5 0.763 0.458 0.042
Mg6 0.737 0.958 0.542
Mg7 0.237 0.542 0.958
Mg8 0.263 0.042 0.458
Mg9 0.629 0.552 0.666
Mg10 0.871 0.334 0.448
Mg11 0.371 0.448 0.334
Mg12 0.129 0.666 0.552
Pd1 0.897 0.714 0.786
Pd2 0.603 0.214 0.286
Pd3 0.103 0.286 0.214
Pd4 0.397 0.786 0.714
Pb1 0.250 0.808 0.192
Pb2 0.750 0.192 0.808
Pb3 0.250 0.309 0.691
Pb4 0.750 0.691 0.309

---

5.
Rb4Zr3CuSe8: relaxed, GGA-PBE.

Calculated values
Size of the total moment: 0.000 μB per atom
Energy relative to the elements, uncorrected: -1.15 eV per atom
Density of states at the Fermi level: 5.2 states/eV per cell

a = 8.028 Å, b = 9.193 Å, c = 8.040 Å
α = 115.99°, β = 119.95°, γ = 90.00°
Fractional positions:
Rb1 0.500 0.000 0.000
Rb2 0.500 0.000 0.500
Rb3 0.000 0.000 0.000
Rb4 0.000 0.000 0.500
Zr1 0.500 0.500 0.000
Zr2 0.500 0.500 0.500
Zr3 0.000 0.500 0.500
Cu1 0.000 0.500 0.000
Se1 0.229 0.684 0.956
Se2 0.230 0.685 0.459
Se3 0.269 0.306 0.537
Se4 0.727 0.684 0.956
Se5 0.273 0.316 0.044
Se6 0.731 0.694 0.463
Se7 0.770 0.315 0.541
Se8 0.771 0.316 0.044

---

6.
Zn2Hg2Cl: relaxed, GGA-PBE.

Calculated values
Size of the total moment: 0.000 μB per atom
Energy relative to the lowest polymorph listed for this composition: 0.039 eV/atom
Energy relative to the elements, uncorrected: -0.02 eV per atom
Density of states at the Fermi level: 2.8 states/eV per cell

a = 8.209 Å, b = 8.209 Å, c = 3.213 Å
α = 90.00°, β = 90.00°, γ = 90.00°
Fractional positions:
Zn1 0.114 0.614 0.500
Zn2 0.614 0.886 0.500
Zn3 0.886 0.386 0.500
Zn4 0.386 0.114 0.500
Hg1 0.312 0.812 0.000
Hg2 0.812 0.688 0.000
Hg3 0.688 0.188 0.000
Hg4 0.188 0.312 0.000
Cl1 0.000 0.000 0.000
Cl2 0.500 0.500 0.000

---

7.
ThSiHPt: relaxed, GGA-PBE.

Calculated values
Size of the total moment: 0.000 μB per atom
E: -0.477 Ry per atom
Density of states at the Fermi level: 1.9 states/eV per cell

a = 4.305 Å, b = 4.303 Å, c = 4.082 Å
α = 90.00°, β = 90.00°, γ = 120.01°
Fractional positions:
Th1 0.905 0.810 0.800
Si1 0.572 0.144 0.323
H1 0.239 0.477 0.835
Pt1 0.239 0.477 0.281

---

8.
TaNbZn4: relaxed, GGA-PBE.

Calculated values
Size of the total moment: 0.000 μB per atom
Energy of formation: -68 kJ/mol of formula units
Density of states at the Fermi level: 2.9 states/eV per cell

a = 5.036 Å, b = 5.036 Å, c = 5.036 Å
α = 60.00°, β = 60.00°, γ = 60.00°
Fractional positions:
Nb1 0.000 0.000 0.000
Zn1 0.625 0.625 0.125
Zn2 0.625 0.125 0.625
Zn3 0.625 0.625 0.625
Zn4 0.125 0.625 0.625
Ta1 0.250 0.250 0.250

---

9.
P2BrClF: relaxed, GGA-PBE.

Calculated values
Size of the total moment: 0.406 μB per atom
Energy relative to the lowest polymorph listed for this composition: 0.384 eV/atom
Energy relative to the elements, uncorrected: 1.09 eV per atom
Density of states at the Fermi level: 5.3 states/eV per cell

a = 5.041 Å, b = 5.041 Å, c = 5.097 Å
α = 90.00°, β = 90.00°, γ = 90.00°
Last column: magnetic moment on the atom in μB.
Fractional positions:
P1 0.000 0.500 0.000  0.46
P2 0.500 0.000 0.000  0.46
F1 0.500 0.500 0.500  -0.07
Br1 0.000 0.000 0.000  -0.02
Cl1 0.000 0.000 0.500  0.10

---

10.
ZnPt2Rh: relaxed, GGA-PBE.

Calculated values
Size of the total moment: 0.000 μB per atom
Energy of formation: -43 kJ/mol of formula units
Density of states at the Fermi level: 5.1 states/eV per cell

a = 2.744 Å, b = 2.744 Å, c = 9.172 Å
α = 90.00°, β = 90.00°, γ = 119.13°
Fractional positions:
Pt1 0.000 0.000 0.986
Pt2 0.500 0.500 0.256
Rh1 0.000 0.000 0.513
Zn1 0.500 0.500 0.745

---

11.
EuScAlHg: relaxed, GGA-PBE.

Calculated values
Size of the total moment: 1.799 μB per atom
Energy of formation: -119 kJ/mol of formula units
Density of states at the Fermi level: 5.8 states/eV per cell

a = 5.170 Å, b = 5.170 Å, c = 5.170 Å
α = 60.00°, β = 60.00°, γ = 60.00°
Last column: magnetic moment on the atom in μB.
Fractional positions:
Eu1 0.500 0.500 0.500  -6.80
Sc1 0.000 0.000 0.000  -0.07
Hg1 0.250 0.250 0.250  -0.02
Al1 0.750 0.750 0.750  0.01

---

12.
VZn2TeIr: relaxed, GGA-PBE.

Calculated values
Size of the total moment: 0.092 μB per atom
Energy relative to the elements, uncorrected: 1.57 eV per atom
Density of states at the Fermi level: 9.0 states/eV per cell

a = 5.012 Å, b = 4.889 Å, c = 5.012 Å
α = 90.00°, β = 90.00°, γ = 90.00°
Last column: magnetic moment on the atom in μB.
Fractional positions:
Zn1 0.000 0.000 0.500  0.00
Zn2 0.500 0.000 0.000  0.02
Ir1 0.000 0.500 0.000  0.02
Te1 0.000 0.000 0.000  0.01
V1 0.500 0.500 0.500  -0.56

---

13.
TbCe2ThN4: relaxed, GGA-PBE.

Calculated values
Size of the total moment: 0.000 μB per atom
Energy relative to the elements, uncorrected: -1.56 eV per atom
Density of states at the Fermi level: 6.6 states/eV per cell

a = 3.580 Å, b = 6.193 Å, c = 6.201 Å
α = 109.35°, β = 90.00°, γ = 90.00°
Fractional positions:
Tb1 0.000 0.000 0.000
Ce1 0.500 0.000 0.500
Ce2 0.000 0.500 0.500
Th1 0.500 0.500 0.000
N1 0.500 0.249 0.250
N2 0.500 0.751 0.750
N3 0.000 0.247 0.750
N4 0.000 0.753 0.250

---

14.
TlGa2Pb8: relaxed, GGA-PBE.

Calculated values
Size of the total moment: 0.000 μB per atom
Energy of formation: 40 kJ/mol of formula units
Density of states at the Fermi level: 5.5 states/eV per cell

a = 4.808 Å, b = 8.019 Å, c = 9.166 Å
α = 106.95°, β = 105.20°, γ = 90.00°
Fractional positions:
Pb1 0.603 0.464 0.206
Pb2 0.317 0.090 0.635
Pb3 0.147 0.200 0.294
Pb4 0.045 0.723 0.090
Pb5 0.853 0.800 0.706
Pb6 0.683 0.910 0.365
Pb7 0.397 0.536 0.794
Pb8 0.955 0.277 0.910
Tl1 0.500 0.000 0.000
Ga1 0.228 0.631 0.456
Ga2 0.772 0.369 0.544